1.
Computed, not measured: a relaxed BeCrIr2 crystal at the GGA-PBE level of DFT.

Cell lengths 2.7672, 2.7672, 6.3121 Å; angles 90.00, 90.00, 90.00 degrees
With the nearest neighbours (Å) after each atom.
Fractional coordinates of all 4 atoms:
Be: 0.0000 0.0000 0.0000  8 Ir 2.43
Cr: 0.0000 0.0000 0.5000  8 Ir 2.60, 4 Cr 2.77
Ir: 0.5000 0.5000 0.2282  4 Be 2.43, 4 Cr 2.60
Ir: 0.5000 0.5000 0.7718  4 Be 2.43, 4 Cr 2.60

Calculated values
**Crystal system**: tetragonal
**Total DFT energy (no corrections)**: -32.664 eV/cell
**Space-group type**: P4/mmm, No. 123
**Energy of formation**: -398 meV per atom

2.
Computed, not measured: a relaxed BeSi4Ni crystal at the GGA-PBE level of DFT.

Cell lengths 4.8777, 4.8777, 4.8777 Å; angles 60.00, 60.00, 60.00 degrees
With the nearest neighbours (Å) after each atom.
Fractional coordinates of all 6 atoms:
Be: 0.0000 0.0000 0.0000  12 Si 2.86, 4 Ni 2.99
Si: 0.1247 0.6251 0.6251  6 Si 2.44
Si: 0.6251 0.1247 0.6251  6 Si 2.44
Si: 0.6251 0.6251 0.1247  6 Si 2.44
Si: 0.6251 0.6251 0.6251  6 Si 2.44
Ni: 0.2500 0.2500 0.2500  12 Si 2.86, 4 Be 2.99

Calculated values
**Crystal system**: cubic
**Total DFT energy (no corrections)**: -27.517 eV/cell
**Formation energy from raw total energies**: 614 meV per atom
**Space-group type**: F-43m, No. 216

3.
Computed, not measured: a relaxed SnP3C crystal at the GGA-PBE level of DFT.

Cell lengths 5.0767, 5.0767, 5.0767 Å; angles 90.00, 90.00, 90.00 degrees
With the nearest neighbours (Å) after each atom.
Fractional coordinates of all 5 atoms:
Sn: 0.0000 0.0000 0.0000  6 P 2.54
P: 0.0000 0.0000 0.5000  2 Sn 2.54
P: 0.0000 0.5000 0.0000  2 Sn 2.54
P: 0.5000 0.0000 0.0000  2 Sn 2.54
C: 0.5000 0.5000 0.5000  12 P 3.59

Calculated values
**Crystal system**: cubic
**Distance to the lowest polymorph of the same formula**: 1510 meV per atom
**Total DFT energy (no corrections)**: -16.696 eV/cell
**Space-group type**: Pm-3m, No. 221
**Energy of formation**: 2552 meV per atom

4.
Computed, not measured: a relaxed Sn5As4Au crystal at the GGA-PBE level of DFT.

Cell lengths 14.7715, 14.7715, 14.7715 Å; angles 164.07, 164.07, 22.61 degrees
With the nearest neighbours (Å) after each atom.
Fractional coordinates of all 10 atoms:
Sn: 0.0000 0.0000 0.0000  4 Au 2.90, 2 As 2.93
Sn: 0.2000 0.2000 0.0000  6 As 2.86-2.91
Sn: 0.4004 0.4004 0.0000  1 Au 2.89, 5 As 2.90
Sn: 0.5996 0.5996 0.0000  1 Au 2.89, 5 As 2.90
Sn: 0.8000 0.8000 0.0000  6 As 2.86-2.91
As: 0.1012 0.1012 0.0000  6 Sn 2.86-2.93
As: 0.3003 0.3003 0.0000  6 Sn 2.90-2.91
As: 0.6997 0.6997 0.0000  6 Sn 2.90-2.91
As: 0.8988 0.8988 0.0000  6 Sn 2.86-2.93
Au: 0.5000 0.5000 0.0000  6 Sn 2.89-2.90

Calculated values
**Crystal system**: tetragonal
**Total DFT energy (no corrections)**: -42.675 eV/cell
**Space-group type**: I4/mmm, No. 139
**Energy of formation**: -79 meV per atom

5.
Computed, not measured: a relaxed Rb3In4Pb2 crystal at the GGA-PBE level of DFT.

Cell lengths 5.3886, 7.4780, 10.3572 Å; angles 69.50, 75.20, 68.90 degrees
With the nearest neighbours (Å) after each atom.
Fractional coordinates of all 9 atoms:
Rb: 0.0000 0.0000 0.0000  2 Pb 3.82, 4 In 3.83-3.84
Rb: 0.3876 0.8656 0.3591  4 Pb 3.79-4.21, 6 In 3.86-4.21
Rb: 0.6124 0.1344 0.6409  4 Pb 3.79-4.21, 6 In 3.86-4.21
In: 0.0872 0.4699 0.3577  2 In 3.00-3.32, 2 Pb 3.17-3.18
In: 0.2913 0.3609 0.0560  3 Pb 3.18-3.28, 3 In 3.32-3.33
In: 0.7087 0.6391 0.9440  3 Pb 3.18-3.28, 3 In 3.32-3.33
In: 0.9128 0.5301 0.6423  2 In 3.00-3.32, 2 Pb 3.17-3.18
Pb: 0.2882 0.6715 0.7533  5 In 3.17-3.28
Pb: 0.7118 0.3285 0.2467  5 In 3.17-3.28

Calculated values
**Crystal system**: triclinic
**Total DFT energy (no corrections)**: -21.927 eV/cell
**Space-group type**: P-1, No. 2
**Energy of formation**: -73 meV per atom

6.
Computed, not measured: a relaxed HoBPIr6 crystal at the GGA-PBE level of DFT.

Cell lengths 7.7034, 7.7034, 7.7034 Å; angles 136.05, 115.91, 80.97 degrees
With the nearest neighbours (Å) after each atom.
Fractional coordinates of all 18 atoms:
Ho: 0.4693 0.2193 0.2500  6 Ir 2.69-2.89, 2 Ho 2.97
Ho: 0.5307 0.7807 0.7500  6 Ir 2.69-2.89, 2 Ho 2.97
B: 0.0000 0.5000 0.5000  6 Ir 2.10-2.12
B: 0.5000 0.5000 0.0000  6 Ir 2.10-2.12
P: 0.0000 0.0000 0.5000  4 Ir 2.33
P: 0.0000 0.5000 0.0000  4 Ir 2.33
Ir: 0.0972 0.3691 0.2154  1 B 2.10, 1 P 2.33
Ir: 0.0972 0.8819 0.7281  1 B 2.10, 1 P 2.33
Ir: 0.2398 0.9898 0.2500  6 Ir 2.66-2.96, 1 Ho 2.69
Ir: 0.2966 0.5466 0.7500  2 B 2.12
Ir: 0.3463 0.1181 0.7154  1 B 2.10, 1 P 2.33
Ir: 0.3463 0.6309 0.2281  1 B 2.10, 1 P 2.33
Ir: 0.6537 0.3691 0.7719  1 B 2.10, 1 P 2.33
Ir: 0.6537 0.8819 0.2846  1 B 2.10, 1 P 2.33
Ir: 0.7034 0.4534 0.2500  2 B 2.12
Ir: 0.7602 0.0102 0.7500  6 Ir 2.66-2.96, 1 Ho 2.69
Ir: 0.9028 0.1181 0.2719  1 B 2.10, 1 P 2.33
Ir: 0.9028 0.6309 0.7846  1 B 2.10, 1 P 2.33

Calculated values
**Crystal system**: orthorhombic
**Total DFT energy (no corrections)**: -141.509 eV/cell
**Space-group type**: Imma, No. 74
**Energy of formation**: -103 meV per atom